[1]
# PuTaZnO6, optimized geometry, DFT PBE
data_PuTaZnO6
_chemical_formula_sum 'Pu2 Ta2 Zn2 O12'
_cell_length_a 5.4636
_cell_length_b 5.4636
_cell_length_c 8.9586
_cell_angle_alpha 90.00
_cell_angle_beta 90.00
_cell_angle_gamma 120.00
_space_group_name_H-M_alt 'P -3 1 c'
_space_group_IT_number 163
_space_group_name_Hall '-P 3 2c'
loop_
_atom_site_label
_atom_site_type_symbol
_atom_site_fract_x
_atom_site_fract_y
_atom_site_fract_z
Pu1 Pu 0.3333 0.6667 0.2500
Ta1 Ta 0.3333 0.6667 0.7500
Zn1 Zn 0.0000 0.0000 0.0000
O1 O 0.0183 0.3558 0.6320
# D(E_F) ... 0.9295 states/eV per atom
# ΔE_f (raw) ... -2342 meV/atom
# Magnetization ... 3.00 μB per formula unit

[2]
# TbPu2O, optimized geometry, DFT PBE
data_TbPu2O
_chemical_formula_sum 'Tb3 Pu6 O3'
_cell_length_a 3.9864
_cell_length_b 3.9864
_cell_length_c 19.1390
_cell_angle_alpha 90.00
_cell_angle_beta 90.00
_cell_angle_gamma 120.00
_space_group_name_H-M_alt 'R -3 m'
_space_group_IT_number 166
_space_group_name_Hall '-R 3 2"'
loop_
_atom_site_label
_atom_site_type_symbol
_atom_site_fract_x
_atom_site_fract_y
_atom_site_fract_z
Tb1 Tb 0.0000 0.0000 0.0000
Pu1 Pu 0.0000 0.0000 0.1896
O1 O 0.0000 0.0000 0.5000
# D(E_F) ... 1.3679 states/eV per atom
# ΔE_f (raw) ... -323 meV/atom
# Magnetization ... 0.00 μB per formula unit

[3]
# Tb6PuO12, optimized geometry, DFT PBE
data_Tb6PuO12
_chemical_formula_sum 'Tb18 Pu3 O36'
_cell_length_a 10.0115
_cell_length_b 10.0115
_cell_length_c 9.5013
_cell_angle_alpha 90.00
_cell_angle_beta 90.00
_cell_angle_gamma 120.00
_space_group_name_H-M_alt 'R -3'
_space_group_IT_number 148
_space_group_name_Hall '-R 3'
loop_
_atom_site_label
_atom_site_type_symbol
_atom_site_fract_x
_atom_site_fract_y
_atom_site_fract_z
Tb1 Tb 0.0393 0.2524 0.1415
Pu1 Pu 0.0000 0.0000 0.5000
O1 O 0.0319 0.2217 0.8994
O2 O 0.0374 0.1946 0.3877
# D(E_F) ... 0.4213 states/eV per atom
# ΔE_f (raw) ... -3410 meV/atom
# Magnetization ... 2.00 μB per formula unit

[4]
# Tb4PuO10, optimized geometry, DFT PBE
data_Tb4PuO10
_chemical_formula_sum 'Tb8 Pu2 O20'
_cell_length_a 8.447
_cell_length_b 8.447
_cell_length_c 5.394
_cell_angle_alpha 90.00
_cell_angle_beta 90.00
_cell_angle_gamma 90.00
_space_group_name_H-M_alt 'I 4/m'
_space_group_IT_number 87
_space_group_name_Hall '-I 4'
loop_
_atom_site_label
_atom_site_type_symbol
_atom_site_fract_x
_atom_site_fract_y
_atom_site_fract_z
Tb1 Tb 0.096 0.306 0.000
Pu1 Pu 0.000 0.000 0.500
O1 O 0.000 0.500 0.250
O2 O 0.098 0.815 0.268
# D(E_F) ... 0.0974 states/eV per atom
# ΔE_f (raw) ... -3020 meV/atom
# Magnetization ... 0.09 μB per formula unit

[5]
# Tb3PuO, optimized geometry, DFT PBE
data_Tb3PuO
_chemical_formula_sum 'Tb3 Pu1 O1'
_cell_length_a 4.917
_cell_length_b 4.917
_cell_length_c 4.917
_cell_angle_alpha 90.00
_cell_angle_beta 90.00
_cell_angle_gamma 90.00
_space_group_name_H-M_alt 'P m -3 m'
_space_group_IT_number 221
_space_group_name_Hall '-P 4 2 3'
loop_
_atom_site_label
_atom_site_type_symbol
_atom_site_fract_x
_atom_site_fract_y
_atom_site_fract_z
Tb1 Tb 0.000 0.000 0.500
Pu1 Pu 0.500 0.500 0.500
O1 O 0.000 0.000 0.000
# D(E_F) ... 2.8983 states/eV per atom
# ΔE_f (raw) ... -968 meV/atom
# Magnetization ... 6.98 μB per formula unit

[6]
# TbPuO4, optimized geometry, DFT PBE
data_TbPuO4
_chemical_formula_sum 'Tb4 Pu4 O16'
_cell_length_a 5.360
_cell_length_b 5.360
_cell_length_c 10.675
_cell_angle_alpha 90.00
_cell_angle_beta 90.00
_cell_angle_gamma 90.00
_space_group_name_H-M_alt 'I 41/a m d'
_space_group_IT_number 141
loop_
_space_group_symop_operation_xyz
'x,y,z'
'-x,-y,-z'
'-y+1/4,x+3/4,z+1/4'
'y+1/4,-x+3/4,-z+1/4'
'-x+1/2,-y,z+1/2'
'x+1/2,y,-z+1/2'
'y+1/4,-x+1/4,z+3/4'
'-y+1/4,x+1/4,-z+3/4'
'x,-y,-z'
'-x,y,z'
'-y+1/4,-x+1/4,-z+3/4'
'y+1/4,x+1/4,z+3/4'
'-x+1/2,y,-z+1/2'
'x+1/2,-y,z+1/2'
'y+1/4,x+3/4,-z+1/4'
'-y+1/4,-x+3/4,z+1/4'
'x+1/2,y+1/2,z+1/2'
'-x+1/2,-y+1/2,-z+1/2'
'-y+3/4,x+1/4,z+3/4'
'y+3/4,-x+1/4,-z+3/4'
'-x,-y+1/2,z'
'x,y+1/2,-z'
'y+3/4,-x+3/4,z+1/4'
'-y+3/4,x+3/4,-z+1/4'
'x+1/2,-y+1/2,-z+1/2'
'-x+1/2,y+1/2,z+1/2'
'-y+3/4,-x+3/4,-z+1/4'
'y+3/4,x+3/4,z+1/4'
'-x,y+1/2,-z'
'x,-y+1/2,z'
'y+3/4,x+1/4,-z+3/4'
'-y+3/4,-x+1/4,z+3/4'
loop_
_atom_site_label
_atom_site_type_symbol
_atom_site_fract_x
_atom_site_fract_y
_atom_site_fract_z
Tb1 Tb 0.000 0.250 0.375
Pu1 Pu 0.000 0.250 0.875
O1 O 0.236 0.000 0.000
# D(E_F) ... 0.9852 states/eV per atom
# ΔE_f (raw) ... -3154 meV/atom
# Magnetization ... 3.00 μB per formula unit

[7]
# TbPuO5, optimized geometry, DFT PBE
data_TbPuO5
_chemical_formula_sum 'Tb4 Pu4 O20'
_cell_length_a 9.261
_cell_length_b 6.524
_cell_length_c 8.095
_cell_angle_alpha 90.00
_cell_angle_beta 115.94
_cell_angle_gamma 90.00
_space_group_name_H-M_alt 'C 1 2/c 1'
_space_group_IT_number 15
loop_
_space_group_symop_operation_xyz
'x,y,z'
'-x,-y,-z'
'-x,y,-z+1/2'
'x,-y,z+1/2'
'x+1/2,y+1/2,z'
'-x+1/2,-y+1/2,-z'
'-x+1/2,y+1/2,-z+1/2'
'x+1/2,-y+1/2,z+1/2'
loop_
_atom_site_label
_atom_site_type_symbol
_atom_site_fract_x
_atom_site_fract_y
_atom_site_fract_z
Tb1 Tb 0.000 0.044 0.250
Pu1 Pu 0.000 0.500 0.000
O1 O 0.000 0.393 0.250
O2 O 0.008 0.199 0.963
O3 O 0.228 0.488 0.617
# ΔE_f (raw) ... -2778 meV/atom
# Magnetization ... 1.00 μB per formula unit

[8]
# TbPuTeO2, optimized geometry, DFT PBE
data_TbPuTeO2
_chemical_formula_sum 'Tb2 Pu2 Te2 O4'
_cell_length_a 3.948
_cell_length_b 3.948
_cell_length_c 12.697
_cell_angle_alpha 90.00
_cell_angle_beta 90.00
_cell_angle_gamma 90.00
_space_group_name_H-M_alt 'I 4 m m'
_space_group_IT_number 107
_space_group_name_Hall 'I 4 -2'
loop_
_atom_site_label
_atom_site_type_symbol
_atom_site_fract_x
_atom_site_fract_y
_atom_site_fract_z
Tb1 Tb 0.000 0.000 0.000
Pu1 Pu 0.000 0.000 0.316
Te1 Te 0.000 0.000 0.663
O1 O 0.000 0.500 0.414
# D(E_F) ... 2.0558 states/eV per atom
# ΔE_f (raw) ... -2681 meV/atom
# Magnetization ... 5.00 μB per formula unit

Which formula does entry 3 have?
Tb6PuO12